Entry 1:
First-principles (meta-GGA SCAN) data for a PBEsol-optimized structure of Cd2HgC, as listed in Alexandria.

The calculation puts the energy of formation from the pure elements at 1235.3 meV per atom.

The space group is Fm-3m (No. 225) and the conventional cell measures 6.546, 6.546 and 6.546 Å, with angles of 90.00, 90.00 and 90.00 degrees. The asymmetric unit holds Cd at (0.250, 0.250, 0.250), Hg at (0.000, 0.000, 0.000) and C at (0.000, 0.000, 0.500).



Entry 2:
First-principles (meta-GGA SCAN) data for a PBEsol-optimized structure of LiCdHg2C, as listed in Alexandria.

The calculation puts the energy of formation from the pure elements at 981.0 meV per atom.

The space group is P4/mmm (No. 123) and the conventional cell measures 5.615, 5.615 and 4.110 Å, with angles of 90.00, 90.00 and 90.00 degrees. The asymmetric unit holds Li at (0.000, 0.000, 0.000), Cd at (0.500, 0.500, 0.500), Hg at (0.000, 0.500, 0.500) and C at (0.500, 0.500, 0.000).



Entry 3:
First-principles (meta-GGA SCAN) data for a PBEsol-optimized structure of CdCI2, as listed in Alexandria.

The relative energy among the computed polymorphs is 0.4519 eV/atom. The formation energy (no corrections) is 1.62 eV/atom.

The space group is Fm-3m (No. 225) and the conventional cell measures 7.285, 7.285 and 7.285 Å, with angles of 90.00, 90.00 and 90.00 degrees. The asymmetric unit holds Cd at (0.000, 0.000, 0.000), C at (0.000, 0.000, 0.500) and I at (0.250, 0.250, 0.250).



Entry 4:
First-principles (meta-GGA SCAN) data for a PBEsol-optimized structure of CdCI2, as listed in Alexandria.

The relative energy among the computed polymorphs is 0.0000 eV/atom. The formation energy (no corrections) is 1.17 eV/atom.

The space group is Fd-3m (No. 227, origin choice 2) and the conventional cell measures 10.493, 10.493 and 10.493 Å, with angles of 90.00, 90.00 and 90.00 degrees. The asymmetric unit holds Cd at (0.125, 0.125, 0.125), C at (0.125, 0.125, 0.625) and I at (0.000, 0.000, 0.500).



Entry 5:
First-principles (meta-GGA SCAN) data for a PBEsol-optimized structure of CdTe2CI, as listed in Alexandria.

The formation energy (no corrections) is 1.01 eV/atom.

The space group is P4/mmm (No. 123) and the conventional cell measures 4.842, 4.842 and 4.894 Å, with angles of 90.00, 90.00 and 90.00 degrees. The asymmetric unit holds Cd at (0.000, 0.000, 0.000), Te at (0.000, 0.500, 0.500), C at (0.500, 0.500, 0.500) and I at (0.500, 0.500, 0.000).



Entry 6:
First-principles (meta-GGA SCAN) data for a PBEsol-optimized structure of CdIr2C, as listed in Alexandria.

The relative energy among the computed polymorphs is 1.3221 eV/atom. The calculation puts the energy of formation from the pure elements at 1717.0 meV per atom.

The space group is Fm-3m (No. 225) and the conventional cell measures 6.026, 6.026 and 6.026 Å, with angles of 90.00, 90.00 and 90.00 degrees. The asymmetric unit holds Cd at (0.000, 0.000, 0.000), Ir at (0.250, 0.250, 0.250) and C at (0.000, 0.000, 0.500).



Entry 7:
First-principles (meta-GGA SCAN) data for a PBEsol-optimized structure of Cd3IrC, as listed in Alexandria.

The calculation puts the energy of formation from the pure elements at 1689.7 meV per atom.

The space group is Pm-3m (No. 221) and the conventional cell measures 5.094, 5.094 and 5.094 Å, with angles of 90.00, 90.00 and 90.00 degrees. The asymmetric unit holds Cd at (0.000, 0.000, 0.500), Ir at (0.000, 0.000, 0.000) and C at (0.500, 0.500, 0.500).



Entry 8:
First-principles (meta-GGA SCAN) data for a PBEsol-optimized structure of CdIr2C, as listed in Alexandria.

The relative energy among the computed polymorphs is 0.0000 eV/atom. The calculation puts the energy of formation from the pure elements at 394.9 meV per atom.

The space group is I-42d (No. 122) and the conventional cell measures 6.439, 6.439 and 5.585 Å, with angles of 90.00, 90.00 and 90.00 degrees. The asymmetric unit holds Cd at (0.000, 0.000, 0.000), Ir at (0.137, 0.250, 0.625) and C at (0.000, 0.000, 0.500).